# 1
A relaxed TeP2PdPt crystal, computed with PBE.

Computed properties:
Theoretical density   7.69 g/cm3
Magnetic moment   0.0 μB per cell
Uncorrected formation energy   0.698 eV per atom

a = 4.5000 Å, b = 4.5000 Å, c = 5.2397 Å
α = 90.00°, β = 90.00°, γ = 90.00°
Element x y z (fractional)
Te1 0.0000 0.0000 0.0000
P1 0.0000 0.5000 0.5000
P2 0.5000 0.0000 0.5000
Pd1 0.5000 0.5000 0.5000
Pt1 0.5000 0.5000 0.0000

---

# 2
A relaxed Ti2HIrOs crystal, computed with PBE.

Computed properties:
Theoretical density   12.71 g/cm3
Magnetic moment   0.0 μB per cell
Raw total energy   -8.374 eV/atom

a = 4.1944 Å, b = 4.1944 Å, c = 3.5575 Å
α = 90.00°, β = 90.00°, γ = 90.00°
Element x y z (fractional)
Ti1 0.0000 0.5000 0.0000
Ti2 0.5000 0.0000 0.0000
H1 0.0000 0.0000 0.0000
Ir1 0.5000 0.5000 0.5000
Os1 0.0000 0.0000 0.5000

---

# 3
A relaxed CaLaGe2 crystal, computed with PBE.

Computed properties:
ΔH_f (0 K)   -751 meV/atom
Theoretical density   5.17 g/cm3
Magnetic moment   0.0 μB per cell

a = 4.0779 Å, b = 6.0297 Å, c = 6.0297 Å
α = 44.62°, β = 90.00°, γ = 90.00°
Element x y z (fractional)
Ca1 0.0000 0.0000 0.0000
La1 0.5000 0.7238 0.7238
Ge1 0.0000 0.2875 0.2875
Ge2 0.5000 0.4417 0.4417

---

# 4
A relaxed LiBRh2 crystal, computed with PBE.

Computed properties:
ΔH_f (0 K)   -207 meV/atom
Theoretical density   7.29 g/cm3
Magnetic moment   0.0 μB per cell

a = 5.1944 Å, b = 5.1944 Å, c = 5.1944 Å
α = 102.31°, β = 102.31°, γ = 125.01°
Element x y z (fractional)
Li1 0.0000 0.0000 0.0000
Li2 0.7500 0.2500 0.5000
B1 0.2500 0.7500 0.5000
B2 0.5000 0.5000 0.0000
Rh1 0.2128 0.1250 0.5878
Rh2 0.3750 0.7872 0.9122
Rh3 0.5372 0.6250 0.4122
Rh4 0.8750 0.4628 0.0878

---

# 5
A relaxed NaLaUS4 crystal, computed with PBE.

Computed properties:
Theoretical density   4.26 g/cm3
Magnetic moment   4.0 μB per cell
Uncorrected formation energy   -1.631 eV per atom

a = 8.3706 Å, b = 8.3706 Å, c = 8.3706 Å
α = 121.74°, β = 119.11°, γ = 89.28°
Element x y z (fractional)
Na1 0.3737 0.1237 0.2500
Na2 0.6263 0.8763 0.7500
La1 0.0000 0.5000 0.5000
La2 0.5000 0.5000 0.0000
U1 0.0000 0.0000 0.5000
U2 0.0000 0.5000 0.0000
S1 0.2073 0.7429 0.4644
S2 0.2214 0.2571 0.9644
S3 0.2254 0.2396 0.5143
S4 0.2254 0.7111 0.9857
S5 0.7746 0.2889 0.0143
S6 0.7746 0.7604 0.4857
S7 0.7786 0.7429 0.0356
S8 0.7927 0.2571 0.5356

---

# 6
A relaxed AgMo2Cl crystal, computed with PBE.

Computed properties:
Theoretical density   7.25 g/cm3
Magnetic moment   0.0 μB per cell
Uncorrected formation energy   0.858 eV per atom

a = 2.9758 Å, b = 4.4374 Å, c = 5.8125 Å
α = 90.00°, β = 90.00°, γ = 90.00°
Element x y z (fractional)
Ag1 0.0000 0.0000 0.0000
Mo1 0.5000 0.5000 0.1901
Mo2 0.5000 0.5000 0.8099
Cl1 0.0000 0.0000 0.5000

---

# 7
A relaxed PmSm4Hg crystal, computed with PBE.

Computed properties:
ΔH_f (0 K)   -146 meV/atom
Theoretical density   8.25 g/cm3
Magnetic moment   0.0 μB per cell

a = 3.6637 Å, b = 3.6637 Å, c = 14.2091 Å
α = 90.00°, β = 90.00°, γ = 90.00°
Element x y z (fractional)
Pm1 0.0000 0.0000 0.0000
Sm1 0.0000 0.0000 0.3577
Sm2 0.0000 0.0000 0.6423
Sm3 0.5000 0.5000 0.1798
Sm4 0.5000 0.5000 0.8202
Hg1 0.5000 0.5000 0.5000

---

# 8
A relaxed Sc3TcRh crystal, computed with PBE.

Computed properties:
ΔH_f (0 K)   298 meV/atom
Theoretical density   4.80 g/cm3
Magnetic moment   1.5 μB per cell

a = 4.8804 Å, b = 4.8804 Å, c = 4.8804 Å
α = 90.00°, β = 90.00°, γ = 90.00°
Element x y z (fractional)
Sc1 0.0000 0.0000 0.5000
Sc2 0.0000 0.5000 0.0000
Sc3 0.5000 0.0000 0.0000
Tc1 0.5000 0.5000 0.5000
Rh1 0.0000 0.0000 0.0000

---

# 9
A relaxed Ba6Hg2RhI3 crystal, computed with PBE.

Computed properties:
Theoretical density   5.38 g/cm3
Magnetic moment   0.0 μB per cell
Uncorrected formation energy   -0.896 eV per atom

a = 8.3101 Å, b = 8.3101 Å, c = 9.2385 Å
α = 98.63°, β = 98.63°, γ = 119.92°
Element x y z (fractional)
Ba1 0.0700 0.3723 0.2101
Ba2 0.2311 0.2311 0.7889
Ba3 0.3723 0.0700 0.2101
Ba4 0.6277 0.9300 0.7899
Ba5 0.7689 0.7689 0.2111
Ba6 0.9300 0.6277 0.7899
Hg1 0.3337 0.6663 0.0000
Hg2 0.6663 0.3337 0.0000
Rh1 0.0000 0.0000 0.0000
I1 0.1683 0.8317 0.5000
I2 0.5000 0.5000 0.5000
I3 0.8317 0.1683 0.5000

---

# 10
A relaxed TaAg2Sb crystal, computed with PBE.

Computed properties:
Theoretical density   10.94 g/cm3
Magnetic moment   0.0 μB per cell
Uncorrected formation energy   0.348 eV per atom

a = 5.4576 Å, b = 5.4576 Å, c = 3.0011 Å
α = 90.00°, β = 90.00°, γ = 118.28°
Element x y z (fractional)
Ta1 0.0000 0.0000 0.0000
Ag1 0.0000 0.5000 0.5000
Ag2 0.5000 0.0000 0.5000
Sb1 0.5000 0.5000 0.0000

---

# 11
A relaxed LiCuBi2 crystal, computed with PBE.

Computed properties:
ΔH_f (0 K)   -3 meV/atom
Theoretical density   8.94 g/cm3
Magnetic moment   0.0 μB per cell

a = 3.6530 Å, b = 3.6530 Å, c = 6.7969 Å
α = 90.00°, β = 90.00°, γ = 90.00°
Element x y z (fractional)
Li1 0.0000 0.0000 0.0000
Cu1 0.0000 0.0000 0.5000
Bi1 0.5000 0.5000 0.2661
Bi2 0.5000 0.5000 0.7339

---

# 12
A relaxed Be2Si4Mo crystal, computed with PBE.

Computed properties:
Theoretical density   2.95 g/cm3
Magnetic moment   0.0 μB per cell
Uncorrected formation energy   0.812 eV per atom

a = 6.5904 Å, b = 6.5904 Å, c = 6.5904 Å
α = 137.89°, β = 137.89°, γ = 61.07°
Element x y z (fractional)
Be1 0.0924 0.0924 0.0000
Be2 0.9076 0.9076 0.0000
Si1 0.0000 0.5000 0.5000
Si2 0.2859 0.2859 0.0000
Si3 0.5000 0.0000 0.5000
Si4 0.7141 0.7141 0.0000
Mo1 0.5000 0.5000 0.0000